No. 1
This record from Alexandria via LeMat-Bulk describes a geometry-optimized Ho2RuSe structure. The functional is PBE.

Unit cell a=3.446 b=3.446 c=7.166 alpha=90.00 beta=90.00 gamma=90.00
Space group P4/mmm (No. 123)
One atom of each set of equivalent atoms:
Ho (0.000, 0.000, 0.233)
Ru (0.500, 0.500, 0.000)
Se (0.500, 0.500, 0.500)

Calculated values
- Magnetization: 0.0 μB per formula unit
- Crystal system: tetragonal
- Raw formation energy: -0.968 eV/atom
- Energy: -6.45 eV per atom
- Relative energy among the computed polymorphs: 0 kJ/mol of formula units
- Calculated density: 9.9 g cm⁻³
- N(E_F): 0.873 states/eV/cell

No. 2
This record from Alexandria via LeMat-Bulk describes a geometry-optimized Ho2RuSe structure. The functional is PBE.

Unit cell a=3.7318 b=3.7318 c=22.7549 alpha=90.00 beta=90.00 gamma=120.00
Space group R-3m (No. 166, hexagonal axes)
One atom of each set of equivalent atoms:
Ho (0.0000, 0.0000, 0.2473)
Ru (0.0000, 0.0000, 0.5000)
Se (0.0000, 0.0000, 0.0000)

Calculated values
- Magnetization: 0.0 μB per formula unit
- Crystal system: trigonal
- Raw formation energy: -0.879 eV/atom
- Energy: -6.36 eV per atom
- Relative energy among the computed polymorphs: 34 kJ/mol of formula units
- Calculated density: 9.3 g cm⁻³
- N(E_F): 6.644 states/eV/cell

No. 3
This record from Alexandria via LeMat-Bulk describes a geometry-optimized Ho5Ru2Se2 structure. The functional is PBE.

Unit cell a=15.034 b=7.564 c=7.515 alpha=90.00 beta=90.00 gamma=90.00
Space group Cmce (No. 64)
One atom of each set of equivalent atoms:
Ho (0.000, 0.000, 0.000)
Ho (0.124, 0.165, 0.340)
Ru (0.000, 0.135, 0.632)
Se (0.209, 0.000, 0.000)

Calculated values
- Magnetization: 0.0 μB per formula unit
- Crystal system: orthorhombic
- Raw formation energy: -0.955 eV/atom
- Energy: -6.33 eV per atom
- Calculated density: 9.2 g cm⁻³
- N(E_F): 17.315 states/eV/cell

No. 4
This record from Alexandria via LeMat-Bulk describes a geometry-optimized HoSiRu structure. The functional is PBE.

Unit cell a=6.970 b=4.312 c=7.116 alpha=90.00 beta=90.00 gamma=90.00
Space group Pnma (No. 62)
One atom of each set of equivalent atoms:
Ho (0.013, 0.250, 0.187)
Si (0.196, 0.250, 0.607)
Ru (0.154, 0.750, 0.434)

Calculated values
- Magnetization: 0.0 μB per formula unit
- Crystal system: orthorhombic
- Raw formation energy: -0.844 eV/atom
- Energy: -7.27 eV per atom
- Calculated density: 9.1 g cm⁻³
- N(E_F): 10.350 states/eV/cell

No. 5
This record from Alexandria via LeMat-Bulk describes a geometry-optimized HoSi3Ru5 structure. The functional is PBE.

Unit cell a=3.001 b=13.154 c=13.935 alpha=90.00 beta=90.00 gamma=90.00
Space group Cmcm (No. 63)
One atom of each set of equivalent atoms:
Ho (0.000, 0.154, 0.250)
Si (0.000, 0.140, 0.750)
Si (0.000, 0.368, 0.553)
Ru (0.000, 0.000, 0.000)
Ru (0.000, 0.193, 0.581)
Ru (0.000, 0.471, 0.155)

Calculated values
- Magnetization: 0.0 μB per formula unit
- Crystal system: orthorhombic
- Raw formation energy: -0.423 eV/atom
- Energy: -7.89 eV per atom
- Calculated density: 9.1 g cm⁻³
- N(E_F): 28.577 states/eV/cell

No. 6
This record from Alexandria via LeMat-Bulk describes a geometry-optimized Ho2Si9Ru3 structure. The functional is PBE.

Unit cell a=12.928 b=7.422 c=9.884 alpha=90.00 beta=116.11 gamma=90.00
Space group C2/c (No. 15)
One atom of each set of equivalent atoms:
Ho (0.169, 0.082, 0.251)
Si (0.000, 0.392, 0.250)
Si (0.057, 0.085, 0.921)
Si (0.097, 0.322, 0.751)
Si (0.107, 0.416, 0.073)
Si (0.221, 0.417, 0.420)
Ru (0.080, 0.257, 0.500)
Ru (0.250, 0.250, 0.000)

Calculated values
- Magnetization: 0.0 μB per formula unit
- Crystal system: monoclinic
- Raw formation energy: -0.496 eV/atom
- Energy: -6.62 eV per atom
- Calculated density: 6.9 g cm⁻³
- N(E_F): 23.286 states/eV/cell

No. 7
This record from Alexandria via LeMat-Bulk describes a geometry-optimized Ho2Si4Ru5 structure. The functional is PBE.

Unit cell a=5.800 b=9.902 c=12.894 alpha=90.00 beta=90.00 gamma=90.00
Space group Fmmm (No. 69)
One atom of each set of equivalent atoms:
Ho (0.000, 0.000, 0.129)
Si (0.000, 0.147, 0.364)
Ru (0.000, 0.000, 0.500)
Ru (0.250, 0.250, 0.000)
Ru (0.250, 0.250, 0.250)

Calculated values
- Magnetization: 0.0 μB per formula unit
- Crystal system: orthorhombic
- Raw formation energy: -0.737 eV/atom
- Energy: -7.76 eV per atom
- Calculated density: 8.5 g cm⁻³
- N(E_F): 17.656 states/eV/cell

No. 8
This record from Alexandria via LeMat-Bulk describes a geometry-optimized HoSiRu2 structure. The functional is PBE.

Unit cell a=3.142 b=3.142 c=6.442 alpha=90.00 beta=90.00 gamma=90.00
Space group P4/mmm (No. 123)
One atom of each set of equivalent atoms:
Ho (0.000, 0.000, 0.000)
Si (0.000, 0.000, 0.500)
Ru (0.500, 0.500, 0.290)

Calculated values
- Magnetization: 0.0 μB per formula unit
- Crystal system: tetragonal
- Raw formation energy: -0.457 eV/atom
- Energy: -7.60 eV per atom
- Calculated density: 10.3 g cm⁻³
- N(E_F): 3.022 states/eV/cell

No. 9
This record from Alexandria via LeMat-Bulk describes a geometry-optimized HoSiRu structure. The functional is PBE.

Unit cell a=4.1512 b=4.1512 c=3.8327 alpha=90.00 beta=90.00 gamma=120.00
Space group P-6m2 (No. 187)
One atom of each set of equivalent atoms:
Ho (0.0000, 0.0000, 0.0000)
Si (0.3333, 0.6667, 0.5000)
Ru (0.6667, 0.3333, 0.5000)

Calculated values
- Magnetization: 0.0 μB per formula unit
- Crystal system: hexagonal
- Raw formation energy: -0.644 eV/atom
- Energy: -7.07 eV per atom
- Calculated density: 8.5 g cm⁻³
- N(E_F): 3.074 states/eV/cell

No. 10
This record from Alexandria via LeMat-Bulk describes a geometry-optimized HoSiRu2 structure. The functional is PBE.

Unit cell a=3.4738 b=3.4738 c=20.5178 alpha=90.00 beta=90.00 gamma=120.00
Space group R-3m (No. 166, hexagonal axes)
One atom of each set of equivalent atoms:
Ho (0.0000, 0.0000, 0.0000)
Si (0.0000, 0.0000, 0.5000)
Ru (0.0000, 0.0000, 0.2278)

Calculated values
- Magnetization: 0.0 μB per formula unit
- Crystal system: trigonal
- Raw formation energy: -0.199 eV/atom
- Energy: -7.34 eV per atom
- Calculated density: 9.2 g cm⁻³
- N(E_F): 6.380 states/eV/cell

No. 11
This record from Alexandria via LeMat-Bulk describes a geometry-optimized Ho3Si8Ru3 structure. The functional is PBE.

Unit cell a=15.003 b=4.134 c=8.461 alpha=90.00 beta=119.03 gamma=90.00
Space group C2/m (No. 12)
One atom of each set of equivalent atoms:
Ho (0.000, 0.000, 0.000)
Ho (0.205, 0.500, 0.655)
Si (0.016, 0.500, 0.703)
Si (0.116, 0.000, 0.383)
Si (0.138, 0.500, 0.251)
Si (0.141, 0.000, 0.841)
Ru (0.000, 0.000, 0.500)
Ru (0.174, 0.500, 0.006)

Calculated values
- Magnetization: 0.0 μB per formula unit
- Crystal system: monoclinic
- Raw formation energy: -0.666 eV/atom
- Energy: -6.73 eV per atom
- Calculated density: 7.4 g cm⁻³
- N(E_F): 10.349 states/eV/cell

No. 12
This record from Alexandria via LeMat-Bulk describes a geometry-optimized Ho3Si2Ru2 structure. The functional is PBE.

Unit cell a=5.539 b=7.553 c=13.398 alpha=90.00 beta=90.00 gamma=90.00
Space group Pbcm (No. 57)
One atom of each set of equivalent atoms:
Ho (0.127, 0.241, 0.250)
Ho (0.356, 0.600, 0.101)
Si (0.107, 0.250, 0.000)
Si (0.364, 0.608, 0.750)
Ru (0.148, 0.529, 0.591)

Calculated values
- Magnetization: 0.0 μB per formula unit
- Crystal system: orthorhombic
- Raw formation energy: -0.758 eV/atom
- Energy: -6.92 eV per atom
- Calculated density: 8.9 g cm⁻³
- N(E_F): 14.755 states/eV/cell